No. 1
Compound: Mn2NO
Source: Alexandria via LeMat-Bulk
Functional: PBE+U
Structure: relaxed

E above lowest polymorph = 0.000 eV per atom

abc: 5.536 5.536 5.536
angles: 90.00 90.00 90.00
Space group Fm-3m (No. 225)
Unique sites:
Mn 0.250 0.250 0.250 (multiplicity 8)
N 0.000 0.000 0.000 (multiplicity 4)
O 0.000 0.000 0.500 (multiplicity 4)

---

No. 2
Compound: MnN3O
Source: Alexandria via LeMat-Bulk
Functional: PBE+U
Structure: relaxed

abc: 3.682 3.682 3.682
angles: 90.00 90.00 90.00
Space group Pm-3m (No. 221)
Unique sites:
Mn 0.000 0.000 0.000 (multiplicity 1)
N 0.000 0.000 0.500 (multiplicity 3)
O 0.500 0.500 0.500 (multiplicity 1)

---

No. 3
Compound: Mn8NO16
Source: Alexandria via LeMat-Bulk
Functional: PBE+U
Structure: relaxed

abc: 5.866 7.185 7.185
angles: 87.61 78.23 78.22
Space group P-1 (No. 2)
Unique sites:
Mn 0.075 0.182 0.015 (multiplicity 2)
Mn 0.167 0.515 0.318 (multiplicity 2)
Mn 0.333 0.485 0.682 (multiplicity 2)
Mn 0.424 0.818 0.985 (multiplicity 2)
N 0.500 0.000 0.500 (multiplicity 1)
O 0.022 0.622 0.792 (multiplicity 2)
O 0.147 0.361 0.549 (multiplicity 2)
O 0.168 0.708 0.122 (multiplicity 2)
O 0.172 0.952 0.861 (multiplicity 2)
O 0.328 0.048 0.139 (multiplicity 2)
O 0.332 0.293 0.878 (multiplicity 2)
O 0.352 0.639 0.452 (multiplicity 2)
O 0.479 0.378 0.207 (multiplicity 2)

---

No. 4
Compound: MnNO
Source: Alexandria via LeMat-Bulk
Functional: PBE+U
Structure: relaxed

E above lowest polymorph = 0.183 eV per atom

abc: 3.022 3.022 8.536
angles: 90.00 90.00 90.00
Space group P4/nmm (No. 129, origin choice 2)
Unique sites:
Mn 0.250 0.250 0.146 (multiplicity 2)
N 0.250 0.250 0.347 (multiplicity 2)
O 0.250 0.250 0.892 (multiplicity 2)

---

No. 5
Compound: Mn2NO
Source: Alexandria via LeMat-Bulk
Functional: PBE+U
Structure: relaxed

E above lowest polymorph = 0.556 eV per atom

abc: 4.472 4.472 9.219
angles: 90.00 90.00 90.00
Space group I-42d (No. 122)
Unique sites:
Mn 0.230 0.250 0.125 (multiplicity 8)
N 0.000 0.000 0.000 (multiplicity 4)
O 0.000 0.000 0.500 (multiplicity 4)

---

No. 6
Compound: MnNO
Source: Alexandria via LeMat-Bulk
Functional: PBE+U
Structure: relaxed

E above lowest polymorph = 0.000 eV per atom

abc: 3.773 3.171 5.136
angles: 90.00 106.44 90.00
Space group P2_1/m (No. 11)
Unique sites:
Mn 0.187 0.250 0.283 (multiplicity 2)
N 0.262 0.750 0.545 (multiplicity 2)
O 0.248 0.750 0.061 (multiplicity 2)

---

No. 7
Compound: MnOsN2O
Source: Alexandria via LeMat-Bulk
Functional: PBE+U
Structure: relaxed

abc: 3.815 3.815 4.058
angles: 90.00 90.00 90.00
Space group P4/mmm (No. 123)
Unique sites:
Mn 0.000 0.000 0.000 (multiplicity 1)
Os 0.500 0.500 0.500 (multiplicity 1)
N 0.000 0.500 0.500 (multiplicity 2)
O 0.500 0.500 0.000 (multiplicity 1)

---

No. 8
Compound: MnOsN2O
Source: Alexandria via LeMat-Bulk
Functional: PBE+U
Structure: relaxed

abc: 3.769 3.769 3.628
angles: 90.00 90.00 90.00
Space group P4/mmm (No. 123)
Unique sites:
Mn 0.000 0.000 0.000 (multiplicity 1)
Os 0.500 0.500 0.500 (multiplicity 1)
N 0.000 0.500 0.000 (multiplicity 2)
O 0.000 0.000 0.500 (multiplicity 1)

---

No. 9
Compound: Pa3MnN2O6
Source: Alexandria via LeMat-Bulk
Functional: PBE+U
Structure: relaxed

abc: 10.980 7.012 4.666
angles: 90.00 91.65 90.00
Space group C2/m (No. 12)
Unique sites:
Pa 0.000 0.000 0.000 (multiplicity 2)
Pa 0.250 0.250 0.500 (multiplicity 4)
Mn 0.000 0.500 0.500 (multiplicity 2)
N 0.168 0.000 0.263 (multiplicity 4)
O 0.084 0.247 0.744 (multiplicity 8)
O 0.151 0.500 0.309 (multiplicity 4)

---

No. 10
Compound: MnPbN2O
Source: Alexandria via LeMat-Bulk
Functional: PBE+U
Structure: relaxed

abc: 4.313 4.313 4.304
angles: 90.00 90.00 90.00
Space group P4/mmm (No. 123)
Unique sites:
Mn 0.000 0.000 0.000 (multiplicity 1)
Pb 0.500 0.500 0.500 (multiplicity 1)
N 0.000 0.500 0.500 (multiplicity 2)
O 0.500 0.500 0.000 (multiplicity 1)

---

No. 11
Compound: MnPbN2O
Source: Alexandria via LeMat-Bulk
Functional: PBE+U
Structure: relaxed

abc: 3.944 3.944 4.082
angles: 90.00 90.00 90.00
Space group P4/mmm (No. 123)
Unique sites:
Mn 0.000 0.000 0.000 (multiplicity 1)
Pb 0.500 0.500 0.500 (multiplicity 1)
N 0.000 0.500 0.000 (multiplicity 2)
O 0.000 0.000 0.500 (multiplicity 1)

---

No. 12
Compound: MnPbNO2
Source: Alexandria via LeMat-Bulk
Functional: PBE+U
Structure: relaxed

abc: 4.248 4.248 4.405
angles: 90.00 90.00 90.00
Space group P4/mmm (No. 123)
Unique sites:
Mn 0.000 0.000 0.000 (multiplicity 1)
Pb 0.500 0.500 0.500 (multiplicity 1)
N 0.500 0.500 0.000 (multiplicity 1)
O 0.000 0.500 0.500 (multiplicity 2)

---

No. 13
Compound: MnPbN2O
Source: Alexandria via LeMat-Bulk
Functional: PBE+U
Structure: relaxed

abc: 3.498 3.498 5.774
angles: 90.00 90.00 90.00
Space group P4/mmm (No. 123)
Unique sites:
Mn 0.000 0.000 0.000 (multiplicity 1)
Pb 0.000 0.000 0.500 (multiplicity 1)
N 0.000 0.500 0.000 (multiplicity 2)
O 0.500 0.500 0.500 (multiplicity 1)

---

No. 14
Compound: MnPbNO2
Source: Alexandria via LeMat-Bulk
Functional: PBE+U
Structure: relaxed

abc: 4.005 4.005 3.882
angles: 90.00 90.00 90.00
Space group P4/mmm (No. 123)
Unique sites:
Mn 0.000 0.000 0.000 (multiplicity 1)
Pb 0.500 0.500 0.500 (multiplicity 1)
N 0.000 0.000 0.500 (multiplicity 1)
O 0.000 0.500 0.000 (multiplicity 2)

---

No. 15
Compound: MnPdN2O
Source: Alexandria via LeMat-Bulk
Functional: PBE+U
Structure: relaxed

abc: 3.608 3.608 3.946
angles: 90.00 90.00 90.00
Space group P4/mmm (No. 123)
Unique sites:
Mn 0.000 0.000 0.000 (multiplicity 1)
Pd 0.500 0.500 0.500 (multiplicity 1)
N 0.000 0.500 0.000 (multiplicity 2)
O 0.000 0.000 0.500 (multiplicity 1)

---

No. 16
Compound: MnPdN2O
Source: Alexandria via LeMat-Bulk
Functional: PBE+U
Structure: relaxed

abc: 3.905 3.905 4.131
angles: 90.00 90.00 90.00
Space group P4/mmm (No. 123)
Unique sites:
Mn 0.000 0.000 0.000 (multiplicity 1)
Pd 0.500 0.500 0.500 (multiplicity 1)
N 0.000 0.500 0.500 (multiplicity 2)
O 0.500 0.500 0.000 (multiplicity 1)

---

No. 17
Compound: MnPd2NO
Source: Alexandria via LeMat-Bulk
Functional: PBE+U
Structure: relaxed

abc: 3.870 3.870 4.848
angles: 90.00 90.00 90.00
Space group P4/mmm (No. 123)
Unique sites:
Mn 0.000 0.000 0.000 (multiplicity 1)
Pd 0.000 0.500 0.500 (multiplicity 2)
N 0.500 0.500 0.500 (multiplicity 1)
O 0.500 0.500 0.000 (multiplicity 1)

---

No. 18
Compound: MnPtNO2
Source: Alexandria via LeMat-Bulk
Functional: PBE+U
Structure: relaxed

abc: 3.639 3.639 3.931
angles: 90.00 90.00 90.00
Space group P4/mmm (No. 123)
Unique sites:
Mn 0.000 0.000 0.000 (multiplicity 1)
Pt 0.500 0.500 0.500 (multiplicity 1)
N 0.000 0.000 0.500 (multiplicity 1)
O 0.000 0.500 0.000 (multiplicity 2)

---

No. 19
Compound: MnPtNO2
Source: Alexandria via LeMat-Bulk
Functional: PBE+U
Structure: relaxed

abc: 4.185 4.185 3.676
angles: 90.00 90.00 90.00
Space group P4/mmm (No. 123)
Unique sites:
Mn 0.000 0.000 0.000 (multiplicity 1)
Pt 0.500 0.500 0.500 (multiplicity 1)
N 0.500 0.500 0.000 (multiplicity 1)
O 0.000 0.500 0.500 (multiplicity 2)

---

No. 20
Compound: RbMnNO2
Source: Alexandria via LeMat-Bulk
Functional: PBE+U
Structure: relaxed

abc: 4.725 4.725 4.923
angles: 90.00 90.00 90.00
Space group P4/mmm (No. 123)
Unique sites:
Rb 0.000 0.000 0.000 (multiplicity 1)
Mn 0.500 0.500 0.500 (multiplicity 1)
N 0.000 0.000 0.500 (multiplicity 1)
O 0.000 0.500 0.000 (multiplicity 2)

---

No. 21
Compound: RbMnNO2
Source: Alexandria via LeMat-Bulk
Functional: PBE+U
Structure: relaxed

abc: 4.060 4.060 4.125
angles: 90.00 90.00 90.00
Space group P4/mmm (No. 123)
Unique sites:
Rb 0.000 0.000 0.000 (multiplicity 1)
Mn 0.500 0.500 0.500 (multiplicity 1)
N 0.500 0.500 0.000 (multiplicity 1)
O 0.000 0.500 0.500 (multiplicity 2)

---

No. 22
Compound: MnRhN2O
Source: Alexandria via LeMat-Bulk
Functional: PBE+U
Structure: relaxed

abc: 3.631 3.631 3.795
angles: 90.00 90.00 90.00
Space group P4/mmm (No. 123)
Unique sites:
Mn 0.000 0.000 0.000 (multiplicity 1)
Rh 0.500 0.500 0.500 (multiplicity 1)
N 0.000 0.500 0.000 (multiplicity 2)
O 0.000 0.000 0.500 (multiplicity 1)

---

No. 23
Compound: MnRhN2O
Source: Alexandria via LeMat-Bulk
Functional: PBE+U
Structure: relaxed

abc: 3.760 3.760 4.341
angles: 90.00 90.00 90.00
Space group P4/mmm (No. 123)
Unique sites:
Mn 0.000 0.000 0.000 (multiplicity 1)
Rh 0.500 0.500 0.500 (multiplicity 1)
N 0.000 0.500 0.500 (multiplicity 2)
O 0.500 0.500 0.000 (multiplicity 1)

---

No. 24
Compound: MnSN2O
Source: Alexandria via LeMat-Bulk
Functional: PBE+U
Structure: relaxed

abc: 3.578 3.578 5.160
angles: 90.00 90.00 90.00
Space group P4/mmm (No. 123)
Unique sites:
Mn 0.000 0.000 0.000 (multiplicity 1)
S 0.000 0.000 0.500 (multiplicity 1)
N 0.000 0.500 0.000 (multiplicity 2)
O 0.500 0.500 0.500 (multiplicity 1)

---

No. 25
Compound: MnSNO2
Source: Alexandria via LeMat-Bulk
Functional: PBE+U
Structure: relaxed

abc: 3.516 3.516 4.235
angles: 90.00 90.00 90.00
Space group P4/mmm (No. 123)
Unique sites:
Mn 0.000 0.000 0.000 (multiplicity 1)
S 0.500 0.500 0.500 (multiplicity 1)
N 0.000 0.000 0.500 (multiplicity 1)
O 0.000 0.500 0.000 (multiplicity 2)

---

No. 26
Compound: MnSN2O
Source: Alexandria via LeMat-Bulk
Functional: PBE+U
Structure: relaxed

abc: 3.871 3.871 3.759
angles: 90.00 90.00 90.00
Space group P4/mmm (No. 123)
Unique sites:
Mn 0.000 0.000 0.000 (multiplicity 1)
S 0.500 0.500 0.000 (multiplicity 1)
N 0.000 0.500 0.500 (multiplicity 2)
O 0.500 0.500 0.500 (multiplicity 1)

---

No. 27
Compound: MnSN2O
Source: Alexandria via LeMat-Bulk
Functional: PBE+U
Structure: relaxed

abc: 3.372 3.372 4.365
angles: 90.00 90.00 90.00
Space group P4/mmm (No. 123)
Unique sites:
Mn 0.000 0.000 0.000 (multiplicity 1)
S 0.500 0.500 0.500 (multiplicity 1)
N 0.000 0.500 0.500 (multiplicity 2)
O 0.500 0.500 0.000 (multiplicity 1)

---

no.,total energy (eV/atom)
1,-7.137
2,-5.296
3,-6.964
4,-6.639
5,-6.581
6,-6.822
7,-7.810
8,-6.720
9,-9.374
10,-4.670
11,-6.161
12,-5.504
13,-5.653
14,-6.271
15,-5.663
16,-5.181
17,-5.858
18,-5.531
19,-6.133
20,-3.798
21,-5.602
22,-6.034
23,-6.179
24,-5.180
25,-5.061
26,-4.907
27,-5.819